(1)
! GdZrIn (PBE, optimized geometry); values from VASP
&SYSTEM
  ibrav = 0, nat = 3, ntyp = 3
/
ATOMIC_SPECIES
Gd 157.25 Gd.upf
In 114.82 In.upf
Zr 91.22 Zr.upf
CELL_PARAMETERS angstrom
0.000 3.535 3.535
3.535 0.000 3.535
3.535 3.535 0.000
ATOMIC_POSITIONS crystal
Gd 0.250 0.250 0.250
In 0.000 0.000 0.000
Zr 0.750 0.750 0.750
! Offset from the most stable computed form: 0.0 meV/atom
! V: 29.5 A^3/atom
! Magnetic moment: 0.4 μB/cell
! E_tot: -5.15 eV per atom



(2)
! Co6P4C (PBE, optimized geometry); values from VASP
&SYSTEM
  ibrav = 0, nat = 11, ntyp = 3
/
ATOMIC_SPECIES
C 12.01 C.upf
Co 58.93 Co.upf
P 30.97 P.upf
CELL_PARAMETERS angstrom
6.657 0.000 0.000
-3.328 5.765 0.000
0.000 0.000 3.129
ATOMIC_POSITIONS crystal
C 0.000 0.000 0.000
Co 0.067 0.534 0.000
Co 0.466 0.534 0.000
Co 0.466 0.933 0.000
Co 0.371 0.186 0.500
Co 0.814 0.186 0.500
Co 0.814 0.629 0.500
P 0.667 0.333 0.000
P 0.187 0.374 0.500
P 0.187 0.813 0.500
P 0.626 0.813 0.500
! V: 10.9 A^3/atom
! Magnetic moment: 0.0 μB/cell
! E_tot: -6.73 eV per atom